Material: NaSrCa2
Method: DFT, PBE
State: relaxed

Its space group is Fm-3m, No. 225. For the final energy, the calculation gives -1.653 eV/atom. The offset from the most stable computed form comes out at 64.8 meV per atom. The formation energy from the elements comes out at 0.10 eV per atom.

Unit cell a=6.3043 b=6.3043 c=6.3043 alpha=60.00 beta=60.00 gamma=60.00
Positions (direct):
Na1 0.0000 0.0000 0.0000
Sr1 0.5000 0.5000 0.5000
Ca1 0.2500 0.2500 0.2500
Ca2 0.7500 0.7500 0.7500

=====

Material: Tl3F2
Method: DFT, PBE
State: relaxed

Its space group is R-3c, No. 167. For the final energy, the calculation gives -3.438 eV/atom. The calculation puts the uncorrected formation energy at -1.27 eV/atom.

Unit cell a=7.8799 b=7.8799 c=7.8799 alpha=48.13 beta=48.13 gamma=48.13
Positions (direct):
Tl1 0.0974 0.7500 0.4026
Tl2 0.2500 0.5974 0.9026
Tl3 0.4026 0.0974 0.7500
Tl4 0.5974 0.9026 0.2500
Tl5 0.7500 0.4026 0.0974
Tl6 0.9026 0.2500 0.5974
F1 0.1762 0.1762 0.1762
F2 0.3238 0.3238 0.3238
F3 0.6762 0.6762 0.6762
F4 0.8238 0.8238 0.8238